LaNbAsO | PBE | optimized geometry

Values from the calculation:
V   22.670 A^3/atom
Mass density   5.910 g cm⁻³
Energy above the most stable polymorph in this dataset   0.497 eV/atom

Unit cell a=4.6643 b=6.3627 c=6.1110 alpha=90.00 beta=90.00 gamma=90.00
Space group Pmc2_1 (No. 26)
Inequivalent atoms, fractional coordinates:
1 La 0.0000 0.2404 0.0000 (multiplicity 2)
2 Nb 0.5000 0.3905 0.5856 (multiplicity 2)
3 As 0.0000 0.2427 0.4977 (multiplicity 2)
4 O 0.5000 0.3293 0.9110 (multiplicity 2)